! Y4Er3Tm2 | Alexandria via LeMat-Bulk | GGA-PBE | relaxed; values from VASP
! Final energy (eV per atom): -5.2849
! Fermi-level density of states (states/eV per cell): 28.0
! V (Å³ per cell): 562.49
&SYSTEM
  ibrav = 0, nat = 18, ntyp = 3
/
ATOMIC_SPECIES
Y 88.91 Y.upf
Er 167.26 Er.upf
Tm 168.93 Tm.upf
CELL_PARAMETERS angstrom
-4.555 0.269 4.063
-1.796 -8.896 6.548
2.615 0.823 10.850
ATOMIC_POSITIONS angstrom
Y -3.039 -7.764 9.674
Y -1.566 -7.109 6.685
Y -0.696 -0.041 11.786
Y -2.170 -0.695 14.775
Y 0.515 -0.938 5.939
Y -0.727 -4.255 14.706
Y -4.251 -6.866 15.522
Y -3.008 -3.549 6.755
Er -2.827 -0.209 6.357
Er -2.330 -5.575 17.970
Er -0.909 -7.595 15.104
Er -1.405 -2.229 3.491
Er -1.143 -4.882 9.310
Er -2.592 -2.922 12.150
Tm -0.959 -1.576 8.935
Tm 0.760 -3.589 11.722
Tm -2.776 -6.229 12.526
Tm -4.495 -4.215 9.739

---

! Ti2Bi2O7 | Alexandria via LeMat-Bulk | GGA-PBE | relaxed; values from VASP
! Raw formation energy (kJ per mole of atoms): -214.7
! Final energy (eV per atom): -7.5217
! Fermi-level density of states (states/eV per cell): 0.0
! V (Å³ per cell): 585.40
&SYSTEM
  ibrav = 0, nat = 44, ntyp = 3
/
ATOMIC_SPECIES
Ti 47.87 Ti.upf
Bi 208.98 Bi.upf
O 16.00 O.upf
CELL_PARAMETERS angstrom
7.421 0.000 0.000
0.000 7.520 0.000
0.000 0.000 10.490
ATOMIC_POSITIONS angstrom
Ti 0.059 0.071 0.114
Ti 7.363 3.830 10.376
Ti 3.652 3.830 5.359
Ti 3.770 0.071 5.131
Ti 1.780 1.856 7.749
Ti 5.642 5.616 2.741
Ti 1.931 5.616 2.504
Ti 5.490 1.856 7.986
Bi 0.251 7.325 4.914
Bi 7.170 3.565 5.576
Bi 3.460 3.565 10.158
Bi 3.962 7.325 0.331
Bi 2.037 2.250 2.745
Bi 5.384 6.010 7.744
Bi 1.673 6.010 7.990
Bi 5.748 2.250 2.500
O 1.411 3.232 9.213
O 6.011 6.992 1.277
O 2.300 6.992 3.968
O 5.121 3.232 6.522
O 5.218 6.977 4.041
O 2.203 3.217 6.449
O 5.914 3.217 9.286
O 1.508 6.977 1.204
O 5.871 0.342 9.184
O 1.551 4.101 1.305
O 5.261 4.101 3.940
O 2.160 0.342 6.550
O 2.436 4.148 3.827
O 4.985 0.389 6.663
O 1.275 0.389 9.072
O 6.147 4.148 1.418
O 7.336 1.967 7.185
O 0.085 5.727 3.305
O 3.796 5.727 1.940
O 3.626 1.967 8.550
O 3.736 5.565 6.032
O 3.685 1.805 4.458
O 7.396 1.805 0.787
O 0.025 5.565 9.703
O 7.329 5.743 6.511
O 0.092 1.983 3.978
O 3.803 1.983 1.266
O 3.618 5.743 9.223

---

! CaCdRe2H | Alexandria via LeMat-Bulk | GGA-PBE | relaxed; values from VASP
! Final energy (eV per atom): -4.3778
! Fermi-level density of states (states/eV per cell): 6.6
! V (Å³ per cell): 92.26
&SYSTEM
  ibrav = 0, nat = 5, ntyp = 4
/
ATOMIC_SPECIES
Re 186.21 Re.upf
Ca 40.08 Ca.upf
H 1.01 H.upf
Cd 112.41 Cd.upf
CELL_PARAMETERS angstrom
5.473 0.000 0.000
0.000 3.081 0.000
0.000 0.000 5.473
ATOMIC_POSITIONS angstrom
Re 0.000 0.000 2.736
Re 2.736 0.000 0.000
Ca 2.736 1.540 2.736
H 0.000 1.540 0.000
Cd 0.000 0.000 0.000

---

! AlHgW2 | Alexandria via LeMat-Bulk | GGA-PBE | relaxed; values from VASP
! Final energy (eV per atom): -7.0524
! Fermi-level density of states (states/eV per cell): 1.4
! V (Å³ per cell): 67.25
&SYSTEM
  ibrav = 0, nat = 4, ntyp = 3
/
ATOMIC_SPECIES
Hg 200.59 Hg.upf
W 183.84 W.upf
Al 26.98 Al.upf
CELL_PARAMETERS angstrom
-0.381 1.874 -2.009
-2.484 -1.198 0.298
-2.235 6.176 6.183
ATOMIC_POSITIONS angstrom
Hg -3.109 4.970 3.782
W -0.040 0.110 0.110
W -1.078 2.978 2.981
Al -1.991 1.882 0.690